First-principles (GGA-PBE) data for a relaxed Tb6AgRu3 crystal, as listed in Alexandria.

Values from the calculation:
D(E_F) = 13.211 states/eV/cell
Mass density = 8.905 g/cm3
Space-group type = Cmc2_1, No. 36
M_tot = 0.0 Bohr magnetons per cell
Formation energy = -221 meV per atom

Cell: 8.9819 8.9819 6.6725 Å, 90.00 90.00 109.01°
With the nearest neighbours (Å) after each atom.
Sites, in units of the cell vectors:
Tb 0.0334 0.9666 0.5000  2 Ag 2.85-3.02, 4 Ru 2.89-2.96
Tb 0.1152 0.5192 0.0570  2 Ru 2.76-2.78, 1 Ag 2.90
Tb 0.2556 0.7444 0.6276  3 Ru 2.85-2.86
Tb 0.2773 0.3510 0.6098  3 Ru 2.78-3.06
Tb 0.3510 0.2773 0.1098  3 Ru 2.78-3.06
Tb 0.4808 0.8848 0.0570  2 Ru 2.76-2.78, 1 Ag 2.90
Tb 0.5192 0.1152 0.5570  2 Ru 2.76-2.78, 1 Ag 2.90
Tb 0.6490 0.7227 0.6098  3 Ru 2.78-3.06
Tb 0.7227 0.6490 0.1098  3 Ru 2.78-3.06
Tb 0.7444 0.2556 0.1276  3 Ru 2.85-2.86
Tb 0.8848 0.4808 0.5570  2 Ru 2.76-2.78, 1 Ag 2.90
Tb 0.9666 0.0334 0.0000  2 Ag 2.85-3.02, 4 Ru 2.89-2.96
Ag 0.1576 0.8424 0.1705  4 Tb 2.85-3.02, 2 Ru 2.89
Ag 0.8424 0.1576 0.6705  4 Tb 2.85-3.02, 2 Ru 2.89
Ru 0.0320 0.2657 0.3158  5 Tb 2.76-2.96, 1 Ag 2.89
Ru 0.2657 0.0320 0.8158  5 Tb 2.76-2.96, 1 Ag 2.89
Ru 0.4119 0.5881 0.8855  7 Tb 2.78-3.06
Ru 0.5881 0.4119 0.3855  7 Tb 2.78-3.06
Ru 0.7343 0.9680 0.3158  5 Tb 2.76-2.96, 1 Ag 2.89
Ru 0.9680 0.7343 0.8158  5 Tb 2.76-2.96, 1 Ag 2.89